! AcTb2In, optimized geometry, DFT PBE; values from VASP
! energy relative to the elements = -0.21 eV per atom
! ΔE to the lowest computed polymorph = 0.0 meV per atom
&SYSTEM
  ibrav = 0, nat = 4, ntyp = 3
/
ATOMIC_SPECIES
Ac 227.00 Ac.upf
Tb 158.93 Tb.upf
In 114.82 In.upf
ATOMIC_POSITIONS angstrom
Ac -3.9961 -3.2304 1.4394
Tb -6.0030 -1.3043 3.9442
Tb -1.6293 -0.3540 1.0705
In -0.1800 -2.4012 -1.0679
CELL_PARAMETERS angstrom
-1.6681 -1.4259 -3.0103
1.3082 -3.3766 0.8744
-7.6323 -1.6583 5.0147

---

! RbMg3Ge, optimized geometry, DFT PBE; values from VASP
! energy relative to the elements = 0.26 eV per atom
! ΔE to the lowest computed polymorph = 0.0 meV per atom
&SYSTEM
  ibrav = 0, nat = 5, ntyp = 3
/
ATOMIC_SPECIES
Ge 72.64 Ge.upf
Mg 24.30 Mg.upf
Rb 85.47 Rb.upf
ATOMIC_POSITIONS angstrom
Ge 0.0000 0.0000 0.0000
Mg 0.0000 2.7327 0.0000
Mg 0.0000 0.0000 2.7327
Mg 2.7327 0.0000 0.0000
Rb 2.7327 2.7327 2.7327
CELL_PARAMETERS angstrom
5.4654 0.0000 0.0000
0.0000 5.4654 0.0000
0.0000 0.0000 5.4654

---

! BeTe2, optimized geometry, DFT PBE; values from VASP
! raw formation energy = 1 kJ/mol of formula units
! ΔE to the lowest computed polymorph = 149.3 meV per atom
&SYSTEM
  ibrav = 0, nat = 6, ntyp = 2
/
ATOMIC_SPECIES
Be 9.01 Be.upf
Te 127.60 Te.upf
ATOMIC_POSITIONS angstrom
Be 2.3321 0.0000 6.0011
Be 0.0000 2.3321 1.1569
Te 0.0000 0.0000 0.0000
Te 2.3321 2.3321 0.0000
Te 2.3321 0.0000 3.6037
Te 0.0000 2.3321 3.5543
CELL_PARAMETERS angstrom
4.6642 0.0000 0.0000
0.0000 4.6642 0.0000
0.0000 0.0000 7.1580

---

! K8Na, optimized geometry, DFT PBE; values from VASP
! energy relative to the elements = 0.01 eV per atom
&SYSTEM
  ibrav = 0, nat = 9, ntyp = 2
/
ATOMIC_SPECIES
K 39.10 K.upf
Na 22.99 Na.upf
ATOMIC_POSITIONS angstrom
K -3.0202 2.7927 1.8435
K -6.2534 5.5649 3.9954
K -6.5991 4.3867 -0.4587
K -3.5106 1.6199 -2.3176
K -7.2238 1.2445 2.9746
K -7.2939 3.0763 -4.8344
K -10.9304 2.7469 0.5139
K -7.7571 -0.0311 -1.5512
Na 0.0000 0.0000 0.0000
CELL_PARAMETERS angstrom
-2.5485 5.9202 -1.3682
-8.2559 -1.2240 -5.7837
-6.7250 2.4374 7.2071

---

! VTeH, optimized geometry, DFT PBE; values from VASP
! raw total energy = -5.40 eV per atom
&SYSTEM
  ibrav = 0, nat = 6, ntyp = 3
/
ATOMIC_SPECIES
H 1.01 H.upf
Te 127.60 Te.upf
V 50.94 V.upf
ATOMIC_POSITIONS angstrom
H 1.7499 1.2921 3.1636
H 1.7497 1.4001 1.2507
Te -0.0450 3.5246 3.0648
Te -1.8371 6.7770 1.3739
V -0.0453 0.8549 3.5544
V -0.0455 1.8376 0.8600
CELL_PARAMETERS angstrom
3.5901 -0.0003 -0.0002
-1.7913 7.6092 0.0241
-1.7947 0.3244 3.8374

---

! Sr2CdSn4Au3, optimized geometry, DFT PBE; values from VASP
! energy relative to the elements = -0.52 eV per atom
&SYSTEM
  ibrav = 0, nat = 10, ntyp = 4
/
ATOMIC_SPECIES
Sr 87.62 Sr.upf
Cd 112.41 Cd.upf
Sn 118.71 Sn.upf
Au 196.97 Au.upf
ATOMIC_POSITIONS angstrom
Sr 2.3555 0.0000 2.9948
Sr 0.0000 2.3555 8.8662
Cd 2.3555 2.3555 5.9305
Sn 2.3555 2.3555 0.0000
Sn 0.0000 0.0000 0.0000
Sn 2.3555 0.0000 7.5609
Sn 0.0000 2.3555 4.3001
Au 0.0000 0.0000 5.9305
Au 2.3555 0.0000 10.2514
Au 0.0000 2.3555 1.6096
CELL_PARAMETERS angstrom
4.7110 0.0000 0.0000
0.0000 4.7110 0.0000
0.0000 0.0000 11.8610

---

! BaTlAgBi, optimized geometry, DFT PBE; values from VASP
! energy relative to the elements = -0.29 eV per atom
&SYSTEM
  ibrav = 0, nat = 4, ntyp = 4
/
ATOMIC_SPECIES
Tl 204.38 Tl.upf
Bi 208.98 Bi.upf
Ag 107.87 Ag.upf
Ba 137.33 Ba.upf
ATOMIC_POSITIONS angstrom
Tl 0.0000 0.0000 0.0000
Bi 2.8142 1.6248 1.1489
Ag 5.6283 3.2495 2.2977
Ba 8.4425 4.8743 3.4466
CELL_PARAMETERS angstrom
5.6283 0.0000 0.0000
2.8142 4.8743 0.0000
2.8142 1.6248 4.5955

---

! Ta2Ni3S8, optimized geometry, DFT PBE; values from VASP
! raw formation energy = -929 kJ/mol of formula units
&SYSTEM
  ibrav = 0, nat = 26, ntyp = 3
/
ATOMIC_SPECIES
Ta 180.95 Ta.upf
Ni 58.69 Ni.upf
S 32.06 S.upf
ATOMIC_POSITIONS angstrom
Ta 0.7101 -2.9872 0.6058
Ta 5.2838 -7.2094 1.6025
Ta 3.4167 -6.3893 6.4823
Ta 7.9903 -10.6115 7.4790
Ni 3.3878 -3.2560 1.4901
Ni 7.5147 -7.8571 7.0195
Ni 0.0000 0.0000 0.0000
Ni 7.2163 -6.3452 -0.2797
Ni 3.6862 -4.7679 8.7893
Ni 5.4512 -5.5565 4.2548
S 10.2816 -10.2307 6.5655
S 5.0191 -6.5782 -0.7179
S 7.1039 -9.4924 5.5258
S 4.9981 -4.8059 2.2115
S 1.5965 -4.1063 2.5590
S 7.0205 -6.7839 3.3023
S 1.5810 -1.2453 -0.9087
S 6.2101 -9.1740 8.2957
S 3.8820 -4.3291 5.2074
S 2.4904 -4.4247 -0.2108
S 1.7457 -5.1179 7.7047
S 0.6209 -0.8824 1.9442
S 6.9548 -8.4808 0.3802
S 9.3214 -9.8677 9.4184
S 3.6814 -7.0205 8.8027
S 5.9044 -6.3072 6.2981
CELL_PARAMETERS angstrom
-2.2020 -2.4856 -0.4249
7.4283 -5.8306 -4.3887
3.4742 -5.2825 12.8984

---

Q: What is the formula in the sixth record?
A: Sr2CdSn4Au3